No. 1
10
Lattice="4.076 0.000 0.000 0.000 4.076 0.000 0.000 0.000 15.387" Properties=species:S:1:pos:R:3 comment="PBE-GGA ThPbSe2N, relaxed" space_group="P4/nmm, No. 129" e_tot_ev_per_atom=-6.382 raw_formation_energy_mev_per_atom=-1097.7 volume_a3_per_cell=255.6 pbc="T T T"
Th 1.019 1.019 1.199
Th 3.057 3.057 14.188
Pb 1.019 1.019 9.816
Pb 3.057 3.057 5.571
Se 1.019 1.019 6.244
Se 1.019 1.019 12.612
Se 3.057 3.057 2.775
Se 3.057 3.057 9.143
N 1.019 3.057 0.000
N 3.057 1.019 0.000

=====

No. 2
5
Lattice="4.234 0.000 0.000 0.000 4.234 0.000 0.000 0.000 5.636" Properties=species:S:1:pos:R:3 comment="PBE-GGA TiPbSeN2, relaxed" space_group="P4/mmm, No. 123" relative_energy_ev_per_atom=1.355 e_tot_ev_per_atom=-4.892 raw_formation_energy_mev_per_atom=1455.7 volume_a3_per_cell=101.0 pbc="T T T"
Ti 0.000 0.000 0.000
Pb 2.117 2.117 2.818
Se 2.117 2.117 0.000
N 0.000 2.117 2.818
N 2.117 0.000 2.818

=====

No. 3
5
Lattice="4.044 0.000 0.000 0.000 4.044 0.000 0.000 0.000 5.346" Properties=species:S:1:pos:R:3 comment="PBE-GGA TiPbSeN2, relaxed" space_group="P4/mmm, No. 123" relative_energy_ev_per_atom=0.000 e_tot_ev_per_atom=-6.247 raw_formation_energy_mev_per_atom=101.1 volume_a3_per_cell=87.5 pbc="T T T"
Ti 0.000 0.000 0.000
Pb 2.022 2.022 2.673
Se 0.000 0.000 2.673
N 0.000 2.022 0.000
N 2.022 0.000 0.000

=====

No. 4
5
Lattice="5.663 0.000 0.000 0.000 5.663 0.000 0.000 0.000 4.696" Properties=species:S:1:pos:R:3 comment="PBE-GGA TlPbSe2N, relaxed" space_group="P4/mmm, No. 123" relative_energy_ev_per_atom=0.000 e_tot_ev_per_atom=-3.558 raw_formation_energy_mev_per_atom=715.6 volume_a3_per_cell=150.6 pbc="T T T"
Tl 0.000 0.000 0.000
Pb 2.832 2.832 2.348
Se 0.000 2.832 2.348
Se 2.832 0.000 2.348
N 2.832 2.832 0.000